VASP calculation (PBE) on crystalline K2RbAu at its relaxed geometry.

Results
Energy relative to the elements in meV/atom: -108
Polymorph energy (0 for the lowest one) in meV per atom: 61.8
DOS at the Fermi energy in states/eV per cell: 3.20

Structure (CIF):
```
data_K2RbAu
_chemical_formula_sum 'K2 Rb1 Au1'
_cell_length_a 4.754
_cell_length_b 4.754
_cell_length_c 12.918
_cell_angle_alpha 79.40
_cell_angle_beta 79.40
_cell_angle_gamma 60.00
_space_group_name_H-M_alt 'P 1'
_space_group_IT_number 1
loop_
_space_group_symop_operation_xyz
'x,y,z'
loop_
_atom_site_label
_atom_site_fract_x
_atom_site_fract_y
_atom_site_fract_z
Rb1 0.000 0.000 0.000
Au1 0.500 0.500 0.500
K1 0.117 0.117 0.649
K2 0.883 0.883 0.351
```